No. 1
Below is a PBEsol-optimized structure of BaSrCa2, with properties calculated at the meta-GGA SCAN level.

It has space group Cm (No. 8), with a = 13.495 Å, b = 4.059 Å, c = 7.054 Å, α = 90.00°, β = 100.07° and γ = 90.00°. The inequivalent atoms are Ba at (0.000, 0.000, 0.000), Sr at (0.257, 0.500, 0.271), Ca at (0.007, 0.500, 0.510) and Ca at (0.248, 0.000, 0.754).

The calculation puts the offset from the most stable computed form at 0.0079 eV/atom. The energy relative to the elements is 0.039 eV/atom.

No. 2
Below is a PBEsol-optimized structure of BaSrCa2, with properties calculated at the meta-GGA SCAN level.

It has space group I4/mmm (No. 139), with a = 5.875 Å, b = 5.875 Å, c = 11.109 Å, α = 90.00°, β = 90.00° and γ = 90.00°. The inequivalent atoms are Ba at (0.000, 0.000, 0.000), Sr at (0.000, 0.000, 0.500) and Ca at (0.000, 0.500, 0.250).

The calculation puts the offset from the most stable computed form at 0.0115 eV/atom. The energy relative to the elements is 0.043 eV/atom.

No. 3
Below is a PBEsol-optimized structure of BaSrCa2, with properties calculated at the meta-GGA SCAN level.

It has space group Cmm2 (No. 35), with a = 5.772 Å, b = 5.783 Å, c = 11.433 Å, α = 90.00°, β = 90.00° and γ = 90.00°. The inequivalent atoms are Ba at (0.000, 0.000, 0.000), Sr at (0.000, 0.500, 0.719), Ca at (0.000, 0.000, 0.476) and Ca at (0.000, 0.500, 0.258).

The calculation puts the offset from the most stable computed form at 0.0000 eV/atom. The energy relative to the elements is 0.031 eV/atom.

No. 4
Below is a PBEsol-optimized structure of BaSrCa2, with properties calculated at the meta-GGA SCAN level.

It has space group R-3m (No. 166, hexagonal axes), with a = 4.0465 Å, b = 4.0465 Å, c = 39.8439 Å, α = 90.00°, β = 90.00° and γ = 120.00°. The inequivalent atoms are Ba at (0.0000, 0.0000, 0.0000), Sr at (0.0000, 0.0000, 0.5000) and Ca at (0.0000, 0.0000, 0.2487).

The calculation puts the offset from the most stable computed form at 0.0183 eV/atom. The energy relative to the elements is 0.050 eV/atom.

No. 5
Below is a PBEsol-optimized structure of BaSrCa2, with properties calculated at the meta-GGA SCAN level.

It has space group C2/m (No. 12), with a = 13.452 Å, b = 4.024 Å, c = 7.082 Å, α = 90.00°, β = 99.11° and γ = 90.00°. The inequivalent atoms are Ba at (0.000, 0.000, 0.000), Sr at (0.000, 0.500, 0.500) and Ca at (0.249, 0.000, 0.746).

The calculation puts the offset from the most stable computed form at 0.0263 eV/atom. The energy relative to the elements is 0.058 eV/atom.

No. 6
Below is a PBEsol-optimized structure of BaSrCa2, with properties calculated at the meta-GGA SCAN level.

It has space group Fm-3m (No. 225), with a = 9.117 Å, b = 9.117 Å, c = 9.117 Å, α = 90.00°, β = 90.00° and γ = 90.00°. The inequivalent atoms are Ba at (0.000, 0.000, 0.000), Sr at (0.000, 0.000, 0.500) and Ca at (0.250, 0.250, 0.250).

The calculation puts the offset from the most stable computed form at 0.0157 eV/atom. The energy relative to the elements is 0.047 eV/atom.